(1)
Density functional theory data (PBE-GGA) for crystalline BeAgSb2 at its relaxed geometry.

extended XYZ file:
```
4
Lattice="-3.0567 4.3144 1.1098 -1.7559 -2.8295 -3.4050 -4.3525 -1.5807 1.3206" Properties=species:S:1:pos:R:3 pbc="T T T"
Ag -3.0542 -2.2051 -1.0422
Be -2.4063 0.7424 -1.1476
Sb -3.7046 1.3668 1.2152
Sb 0.0000 0.0000 0.0000
```

Computed properties:
- N(E_F) (states/eV per cell) = 1.775
- E_form (uncorrected) (eV per atom) = 0.432

(2)
Density functional theory data (PBE-GGA) for crystalline CeZn2Sb2 at its relaxed geometry.

extended XYZ file:
```
10
Lattice="4.3111 0.0000 -0.7663 0.0000 4.3405 0.0000 -0.0545 0.0000 12.2034" Properties=species:S:1:pos:R:3 pbc="T T T"
Sb 0.5019 1.0851 2.8236
Sb 1.0493 3.2554 5.9031
Sb 3.7547 3.2554 8.6135
Sb 3.2073 1.0851 5.5339
Ce 2.7665 3.2554 3.0537
Ce 1.4901 1.0851 8.3834
Zn 0.1523 3.2554 0.8568
Zn 2.2824 1.0851 0.3304
Zn 1.9742 3.2554 11.1067
Zn 4.1043 1.0851 10.5803
```

Computed properties:
- N(E_F) (states/eV per cell) = 8.987
- E_form (uncorrected) (eV per atom) = -0.435

(3)
Density functional theory data (PBE-GGA) for crystalline GaRhBrCl2 at its relaxed geometry.

extended XYZ file:
```
5
Lattice="4.6280 0.0000 0.0000 0.0000 5.4606 0.0000 0.0000 0.0000 4.6280" Properties=species:S:1:pos:R:3 pbc="T T T"
Cl 2.3140 0.0000 0.0000
Cl 0.0000 0.0000 2.3140
Ga 0.0000 0.0000 0.0000
Rh 0.0000 2.7303 0.0000
Br 2.3140 2.7303 2.3140
```

Computed properties:
- N(E_F) (states/eV per cell) = 7.421
- E_form (uncorrected) (eV per atom) = 0.156

(4)
Density functional theory data (PBE-GGA) for crystalline TcGeS2N at its relaxed geometry.

extended XYZ file:
```
5
Lattice="4.8519 0.0000 0.0000 0.0000 4.8519 0.0000 0.0000 0.0000 3.5115" Properties=species:S:1:pos:R:3 pbc="T T T"
S 2.4259 0.0000 0.0000
S 0.0000 2.4259 0.0000
Tc 2.4259 2.4259 1.7558
N 0.0000 0.0000 1.7558
Ge 0.0000 0.0000 0.0000
```

Computed properties:
- N(E_F) (states/eV per cell) = 3.752
- E above lowest polymorph (meV per atom) = 800
- E_form (uncorrected) (eV per atom) = 1.077

(5)
Density functional theory data (PBE-GGA) for crystalline Nb3WBr at its relaxed geometry.

extended XYZ file:
```
5
Lattice="4.9544 0.0000 0.0000 0.0000 4.9544 0.0000 0.0000 0.0000 4.9544" Properties=species:S:1:pos:R:3 pbc="T T T"
Nb 0.0000 2.4772 0.0000
Nb 0.0000 0.0000 2.4772
Nb 2.4772 0.0000 0.0000
W 0.0000 0.0000 0.0000
Br 2.4772 2.4772 2.4772
```

Computed properties:
- N(E_F) (states/eV per cell) = 7.128
- E above lowest polymorph (meV per atom) = 0
- E_form (uncorrected) (eV per atom) = 1.460

(6)
Density functional theory data (PBE-GGA) for crystalline NaY2Mn at its relaxed geometry.

extended XYZ file:
```
4
Lattice="-2.3921 -4.3467 -1.0177 -4.1531 -1.2747 2.6036 -4.5299 0.0723 -2.2642" Properties=species:S:1:pos:R:3 pbc="T T T"
Na 0.0000 0.0000 0.0000
Mn -5.5376 -2.7745 -0.3392
Y -2.7688 -1.3873 -0.1696
Y -8.3063 -4.1618 -0.5088
```

Computed properties:
- N(E_F) (states/eV per cell) = 10.112
- formation enthalpy at 0 K (eV per atom) = 0.5509
- E above lowest polymorph (meV per atom) = 0

Please write out number 1 again, unchanged.
Density functional theory data (PBE-GGA) for crystalline BeAgSb2 at its relaxed geometry.

extended XYZ file:
```
4
Lattice="-3.0567 4.3144 1.1098 -1.7559 -2.8295 -3.4050 -4.3525 -1.5807 1.3206" Properties=species:S:1:pos:R:3 pbc="T T T"
Ag -3.0542 -2.2051 -1.0422
Be -2.4063 0.7424 -1.1476
Sb -3.7046 1.3668 1.2152
Sb 0.0000 0.0000 0.0000
```

Computed properties:
- N(E_F) (states/eV per cell) = 1.775
- E_form (uncorrected) (eV per atom) = 0.432

N(E_F) of number 1 (BeAgSb2)?
1.775 states/eV per cell